# 1
The following is a PBE calculation of Ba3Cu2H8 after structural relaxation, from the Alexandria database.

Geometry as CIF:
```
data_Ba3Cu2H8
_chemical_formula_sum 'Ba9 Cu6 H24'
_cell_length_a 5.4866
_cell_length_b 5.4866
_cell_length_c 22.1199
_cell_angle_alpha 90.00
_cell_angle_beta 90.00
_cell_angle_gamma 120.00
_symmetry_space_group_name_H-M 'R -3 m'
_symmetry_Int_Tables_number 166
_symmetry_space_group_name_Hall '-R 3 2"'
loop_
_atom_site_label
_atom_site_fract_x
_atom_site_fract_y
_atom_site_fract_z
_atom_site_occupancy
Ba1 0.0000 0.0000 0.0000 1
Ba2 0.0000 0.0000 0.2124 1
Cu1 0.0000 0.0000 0.4103 1
H1 0.0000 0.0000 0.3362 1
H2 0.0038 0.5019 0.2296 1
```

D(E_F) in states/eV per atom: 0.00
Final energy in eV per atom: -3.517
Magnetic moment in Bohr magnetons per cell: 0.0


# 2
The following is a PBE calculation of Ba2CuH2 after structural relaxation, from the Alexandria database.

Geometry as CIF:
```
data_Ba2CuH2
_chemical_formula_sum 'Ba4 Cu2 H4'
_cell_length_a 4.2282
_cell_length_b 4.2282
_cell_length_c 14.3901
_cell_angle_alpha 90.00
_cell_angle_beta 90.00
_cell_angle_gamma 90.00
_symmetry_space_group_name_H-M 'I 4/m m m'
_symmetry_Int_Tables_number 139
_symmetry_space_group_name_Hall '-I 4 2'
loop_
_atom_site_label
_atom_site_fract_x
_atom_site_fract_y
_atom_site_fract_z
_atom_site_occupancy
Ba1 0.0000 0.0000 0.1429 1
Cu1 0.0000 0.0000 0.5000 1
H1 0.0000 0.5000 0.2500 1
```

D(E_F) in states/eV per atom: 0.61
E above lowest polymorph in meV/atom: 0.0
Magnetic moment in Bohr magnetons per cell: 0.0


# 3
The following is a PBE calculation of Ba2CuH4 after structural relaxation, from the Alexandria database.

Geometry as CIF:
```
data_Ba2CuH4
_chemical_formula_sum 'Ba4 Cu2 H8'
_cell_length_a 3.9013
_cell_length_b 3.9013
_cell_length_c 15.0743
_cell_angle_alpha 90.00
_cell_angle_beta 90.00
_cell_angle_gamma 90.00
_symmetry_space_group_name_H-M 'I 4/m m m'
_symmetry_Int_Tables_number 139
_symmetry_space_group_name_Hall '-I 4 2'
loop_
_atom_site_label
_atom_site_fract_x
_atom_site_fract_y
_atom_site_fract_z
_atom_site_occupancy
Ba1 0.0000 0.0000 0.1328 1
Cu1 0.0000 0.0000 0.5000 1
H1 0.0000 0.0000 0.3159 1
H2 0.0000 0.5000 0.0000 1
```

D(E_F) in states/eV per atom: 0.29
Final energy in eV per atom: -3.298
Magnetic moment in Bohr magnetons per cell: 0.0


# 4
The following is a PBE calculation of Ba2CuH2 after structural relaxation, from the Alexandria database.

Geometry as CIF:
```
data_Ba2CuH2
_chemical_formula_sum 'Ba4 Cu2 H4'
_cell_length_a 7.7616
_cell_length_b 7.7616
_cell_length_c 3.6437
_cell_angle_alpha 90.00
_cell_angle_beta 90.00
_cell_angle_gamma 90.00
_symmetry_space_group_name_H-M 'P 4/m b m'
_symmetry_Int_Tables_number 127
_symmetry_space_group_name_Hall '-P 4 2ab'
loop_
_atom_site_label
_atom_site_fract_x
_atom_site_fract_y
_atom_site_fract_z
_atom_site_occupancy
Ba1 0.1796 0.3204 0.0000 1
Cu1 0.0000 0.0000 0.5000 1
H1 0.1218 0.6218 0.5000 1
```

D(E_F) in states/eV per atom: 0.67
E above lowest polymorph in meV/atom: 114.2
Magnetic moment in Bohr magnetons per cell: 0.0


# 5
The following is a PBE calculation of BaCu2H after structural relaxation, from the Alexandria database.

Geometry as CIF:
```
data_BaCu2H
_chemical_formula_sum 'Ba4 Cu8 H4'
_cell_length_a 5.8578
_cell_length_b 5.8578
_cell_length_c 8.3285
_cell_angle_alpha 90.00
_cell_angle_beta 90.00
_cell_angle_gamma 90.00
_symmetry_space_group_name_H-M 'I 41/a m d'
_symmetry_Int_Tables_number 141
loop_
_symmetry_equiv_pos_as_xyz
'x,y,z'
'-x,-y,-z'
'-y+1/4,x+3/4,z+1/4'
'y+1/4,-x+3/4,-z+1/4'
'-x+1/2,-y,z+1/2'
'x+1/2,y,-z+1/2'
'y+1/4,-x+1/4,z+3/4'
'-y+1/4,x+1/4,-z+3/4'
'x,-y,-z'
'-x,y,z'
'-y+1/4,-x+1/4,-z+3/4'
'y+1/4,x+1/4,z+3/4'
'-x+1/2,y,-z+1/2'
'x+1/2,-y,z+1/2'
'y+1/4,x+3/4,-z+1/4'
'-y+1/4,-x+3/4,z+1/4'
'x+1/2,y+1/2,z+1/2'
'-x+1/2,-y+1/2,-z+1/2'
'-y+3/4,x+1/4,z+3/4'
'y+3/4,-x+1/4,-z+3/4'
'-x,-y+1/2,z'
'x,y+1/2,-z'
'y+3/4,-x+3/4,z+1/4'
'-y+3/4,x+3/4,-z+1/4'
'x+1/2,-y+1/2,-z+1/2'
'-x+1/2,y+1/2,z+1/2'
'-y+3/4,-x+3/4,-z+1/4'
'y+3/4,x+3/4,z+1/4'
'-x,y+1/2,-z'
'x,-y+1/2,z'
'y+3/4,x+1/4,-z+3/4'
'-y+3/4,-x+1/4,z+3/4'
loop_
_atom_site_label
_atom_site_fract_x
_atom_site_fract_y
_atom_site_fract_z
_atom_site_occupancy
Ba1 0.0000 0.2500 0.3750 1
Cu1 0.0000 0.0000 0.0000 1
H1 0.0000 0.2500 0.8750 1
```

D(E_F) in states/eV per atom: 0.50
E above lowest polymorph in meV/atom: 0.0
Magnetic moment in Bohr magnetons per cell: 0.0


# 6
The following is a PBE calculation of Ba2CuHgH after structural relaxation, from the Alexandria database.

Geometry as CIF:
```
data_Ba2CuHgH
_chemical_formula_sum 'Ba2 Cu1 Hg1 H1'
_cell_length_a 5.8081
_cell_length_b 5.8081
_cell_length_c 4.0026
_cell_angle_alpha 90.00
_cell_angle_beta 90.00
_cell_angle_gamma 90.00
_symmetry_space_group_name_H-M 'P 4/m m m'
_symmetry_Int_Tables_number 123
_symmetry_space_group_name_Hall '-P 4 2'
loop_
_atom_site_label
_atom_site_fract_x
_atom_site_fract_y
_atom_site_fract_z
_atom_site_occupancy
Ba1 0.0000 0.5000 0.0000 1
Cu1 0.0000 0.0000 0.5000 1
Hg1 0.5000 0.5000 0.5000 1
H1 0.0000 0.0000 0.0000 1
```

D(E_F) in states/eV per atom: 0.53
Final energy in eV per atom: -2.558
Magnetic moment in Bohr magnetons per cell: 0.0


# 7
The following is a PBE calculation of Ba2Cu2HgH6 after structural relaxation, from the Alexandria database.

Geometry as CIF:
```
data_Ba2Cu2HgH6
_chemical_formula_sum 'Ba6 Cu6 Hg3 H18'
_cell_length_a 5.6201
_cell_length_b 5.6201
_cell_length_c 22.5205
_cell_angle_alpha 90.00
_cell_angle_beta 90.00
_cell_angle_gamma 120.00
_symmetry_space_group_name_H-M 'R -3 m'
_symmetry_Int_Tables_number 166
_symmetry_space_group_name_Hall '-R 3 2"'
loop_
_atom_site_label
_atom_site_fract_x
_atom_site_fract_y
_atom_site_fract_z
_atom_site_occupancy
Ba1 0.0000 0.0000 0.2170 1
Cu1 0.0000 0.0000 0.4437 1
Hg1 0.0000 0.0000 0.0000 1
H1 0.0002 0.5001 0.2229 1
```

Final energy in eV per atom: -3.135
Magnetic moment in Bohr magnetons per cell: 0.0


# 8
The following is a PBE calculation of BaCuHI2 after structural relaxation, from the Alexandria database.

Geometry as CIF:
```
data_BaCuHI2
_chemical_formula_sum 'Ba1 Cu1 H1 I2'
_cell_length_a 6.0935
_cell_length_b 6.0935
_cell_length_c 3.8041
_cell_angle_alpha 90.00
_cell_angle_beta 90.00
_cell_angle_gamma 90.00
_symmetry_space_group_name_H-M 'P 4/m m m'
_symmetry_Int_Tables_number 123
_symmetry_space_group_name_Hall '-P 4 2'
loop_
_atom_site_label
_atom_site_fract_x
_atom_site_fract_y
_atom_site_fract_z
_atom_site_occupancy
Ba1 0.0000 0.0000 0.0000 1
Cu1 0.5000 0.5000 0.0000 1
H1 0.5000 0.5000 0.5000 1
I1 0.0000 0.5000 0.5000 1
```

D(E_F) in states/eV per atom: 0.21
Final energy in eV per atom: -2.865
Magnetic moment in Bohr magnetons per cell: 0.0